Record 1
Compound: Rb3Pm2TiS6
Source: Alexandria via LeMat-Bulk
Functional: PBE
Structure: relaxed

The structure in POSCAR format:
```
Rb3Pm2TiS6
1.0
3.5009 -6.0627 0.0000
3.5009 6.0627 0.0000
-2.3531 0.0000 7.6746
Rb Pm Ti S
3 2 1 6
direct
0.0000 0.0000 0.0000 Rb
0.3300 0.6700 0.0000 Rb
0.6700 0.3300 0.0000 Rb
0.1660 0.8340 0.5000 Pm
0.8340 0.1660 0.5000 Pm
0.5000 0.5000 0.5000 Ti
0.1303 0.4371 0.3112 S
0.2564 0.2564 0.6908 S
0.4371 0.1303 0.3112 S
0.5629 0.8697 0.6888 S
0.7436 0.7436 0.3092 S
0.8697 0.5629 0.6888 S
```

Summary:
SG: C2/m, No. 12

Record 2
Compound: Rb3Pm3TiS8
Source: Alexandria via LeMat-Bulk
Functional: PBE
Structure: relaxed

The structure in POSCAR format:
```
Rb3Pm3TiS8
1.0
4.0348 2.3295 7.8494
-4.0348 2.3295 7.8494
0.0000 -4.6590 7.8494
Rb Pm Ti S
3 3 1 8
direct
0.0000 0.5000 0.5000 Rb
0.5000 0.0000 0.5000 Rb
0.5000 0.5000 0.0000 Rb
0.0000 0.0000 0.5000 Pm
0.0000 0.5000 0.0000 Pm
0.5000 0.0000 0.0000 Pm
0.5000 0.5000 0.5000 Ti
0.2327 0.2327 0.2327 S
0.2612 0.7095 0.7095 S
0.2905 0.2905 0.7388 S
0.2905 0.7388 0.2905 S
0.7095 0.2612 0.7095 S
0.7095 0.7095 0.2612 S
0.7388 0.2905 0.2905 S
0.7673 0.7673 0.7673 S
```

Summary:
SG: R-3m, No. 166

Record 3
Compound: Rb3Pm2TlS6
Source: Alexandria via LeMat-Bulk
Functional: PBE
Structure: relaxed

The structure in POSCAR format:
```
Rb3Pm2TlS6
1.0
3.6037 -6.2390 0.0000
3.6037 6.2390 0.0000
-2.4010 0.0000 7.7379
Rb Pm Tl S
3 2 1 6
direct
0.0000 0.0000 0.0000 Rb
0.3342 0.6658 0.0000 Rb
0.6658 0.3342 0.0000 Rb
0.1666 0.8334 0.5000 Pm
0.8334 0.1666 0.5000 Pm
0.5000 0.5000 0.5000 Tl
0.1033 0.4343 0.3029 S
0.2344 0.2344 0.6973 S
0.4343 0.1033 0.3029 S
0.5657 0.8967 0.6971 S
0.7656 0.7656 0.3027 S
0.8967 0.5657 0.6971 S
```

Summary:
SG: C2/m, No. 12

Record 4
Compound: Rb3Pm2TmS6
Source: Alexandria via LeMat-Bulk
Functional: PBE
Structure: relaxed

The structure in POSCAR format:
```
Rb3Pm2TmS6
1.0
3.5836 -6.2071 0.0000
3.5836 6.2071 0.0000
-2.3906 0.0000 7.7032
Rb Pm Tm S
3 2 1 6
direct
0.0000 0.0000 0.0000 Rb
0.3322 0.6678 0.0000 Rb
0.6678 0.3322 0.0000 Rb
0.1666 0.8334 0.5000 Pm
0.8334 0.1666 0.5000 Pm
0.5000 0.5000 0.5000 Tm
0.1117 0.4354 0.3062 S
0.2411 0.2411 0.6941 S
0.4354 0.1117 0.3062 S
0.5646 0.8883 0.6938 S
0.7589 0.7589 0.3059 S
0.8883 0.5646 0.6938 S
```

Summary:
SG: C2/m, No. 12

Record 5
Compound: RbPmTm4S8
Source: Alexandria via LeMat-Bulk
Functional: PBE
Structure: relaxed

The structure in POSCAR format:
```
RbPmTm4S8
1.0
4.0789 2.3549 6.8458
-4.0789 2.3549 6.8458
0.0000 -4.7099 6.8458
Rb Pm Tm S
1 1 4 8
direct
0.0000 0.0000 0.0000 Rb
0.3641 0.3641 0.3641 Pm
0.3654 0.3654 0.8824 Tm
0.3654 0.8824 0.3654 Tm
0.7440 0.7440 0.7440 Tm
0.8824 0.3654 0.3654 Tm
0.1311 0.1311 0.5652 S
0.1311 0.5652 0.1311 S
0.1377 0.6164 0.6164 S
0.1406 0.1406 0.1406 S
0.5652 0.1311 0.1311 S
0.6126 0.6126 0.6126 S
0.6164 0.1377 0.6164 S
0.6164 0.6164 0.1377 S
```

Summary:
SG: R3m, No. 160

Record 6
Compound: Rb3Pm3TmS8
Source: Alexandria via LeMat-Bulk
Functional: PBE
Structure: relaxed

The structure in POSCAR format:
```
Rb3Pm3TmS8
1.0
7.1474 -4.1237 0.0000
7.1474 4.1237 0.0000
-4.7725 0.0000 7.8307
Rb Pm Tm S
3 3 1 8
direct
0.0000 0.0000 0.0000 Rb
0.0000 0.5000 0.0000 Rb
0.5000 0.0000 0.0000 Rb
0.0000 0.5000 0.5000 Pm
0.5000 0.0000 0.5000 Pm
0.5000 0.5000 0.5000 Pm
0.0000 0.0000 0.5000 Tm
0.2237 0.2237 0.6877 S
0.2237 0.7405 0.6877 S
0.2595 0.7763 0.3123 S
0.2679 0.2679 0.3039 S
0.7321 0.7321 0.6961 S
0.7405 0.2237 0.6877 S
0.7763 0.2595 0.3123 S
0.7763 0.7763 0.3123 S
```

Summary:
SG: C2/m, No. 12

Number 1: calculated density 4.010 Mg/m³, uncorrected formation energy -19.20 eV per formula unit. Number 2: calculated density 3.735 Mg/m³, uncorrected formation energy -25.34 eV per formula unit. Number 3: calculated density 4.501 Mg/m³, uncorrected formation energy -16.43 eV per formula unit. Number 4: calculated density 4.398 Mg/m³, uncorrected formation energy -22.04 eV per formula unit. Number 5: calculated density 4.894 Mg/m³, uncorrected formation energy -26.38 eV per formula unit. Number 6: calculated density 4.018 Mg/m³, uncorrected formation energy -26.24 eV per formula unit.